This record from the Alexandria database describes crystalline YCo2Si at its relaxed geometry. The functional is PBE-GGA.

Cell: 5.2723 5.2723 5.2723 Å, 144.10 134.85 58.99°
Last column: nearest neighbours and their distance in Å.
Positions (direct):
Y 0.0000 0.0000 0.0000  8 Co 2.63-2.94, 2 Si 2.92
Co 0.2673 0.7673 0.5000  4 Si 2.62, 2 Co 2.86
Co 0.5474 0.5474 0.0000  2 Si 2.33
Si 0.7290 0.2290 0.5000  2 Co 2.33

## Properties
- DOS(E_F) (states/eV per atom) = 0.62
- crystal system = orthorhombic
- symmetry = No. 44
- energy (eV per atom) = -6.63
- M_tot (μB/atom) = 0.000


This record from the Alexandria database describes crystalline NdZnHg2 at its relaxed geometry. The functional is PBE-GGA.

Cell: 3.5969 3.5969 7.3166 Å, 90.00 90.00 90.00°
Last column: nearest neighbours and their distance in Å.
Positions (direct):
Nd 0.0000 0.0000 0.0000  8 Hg 3.28, 4 Nd 3.60, 2 Zn 3.66
Zn 0.0000 0.0000 0.5000  8 Hg 3.00
Hg 0.5000 0.5000 0.2836  4 Zn 3.00, 1 Hg 3.17, 4 Nd 3.28
Hg 0.5000 0.5000 0.7164  4 Zn 3.00, 1 Hg 3.17, 4 Nd 3.28

## Properties
- DOS(E_F) (states/eV per atom) = 0.79
- crystal system = tetragonal
- symmetry = No. 123
- energy (eV per atom) = -1.88
- M_tot (μB/atom) = 0.007


This record from the Alexandria database describes crystalline Ce2Ga4Rh at its relaxed geometry. The functional is PBE-GGA.

Cell: 10.1533 10.1533 3.0692 Å, 90.00 90.00 154.25°
Last column: nearest neighbours and their distance in Å.
Positions (direct):
Ce 0.2105 0.7895 0.0000  4 Ce 2.75-3.07, 2 Ga 3.06
Ce 0.7895 0.2105 0.0000  4 Ce 2.75-3.07, 2 Ga 3.06
Ga 0.0680 0.9320 0.5000  2 Rh 2.63, 5 Ga 2.69-2.84
Ga 0.3934 0.6066 0.0000  2 Rh 2.61, 4 Ga 2.84
Ga 0.6066 0.3934 0.0000  2 Rh 2.61, 4 Ga 2.84
Ga 0.9320 0.0680 0.5000  2 Rh 2.63, 5 Ga 2.69-2.84
Rh 0.5000 0.5000 0.5000  8 Ga 2.61-2.63

## Properties
- DOS(E_F) (states/eV per atom) = 1.22
- crystal system = orthorhombic
- symmetry = No. 65
- energy (eV per atom) = -4.67
- M_tot (μB/atom) = 0.075


This record from the Alexandria database describes crystalline Li2MnTc at its relaxed geometry. The functional is PBE-GGA.

Cell: 4.0530 4.0530 4.0530 Å, 60.00 60.00 60.00°
Last column: nearest neighbours and their distance in Å.
Positions (direct):
Li 0.2500 0.2500 0.2500  4 Tc 2.48, 4 Mn 2.48
Li 0.7500 0.7500 0.7500  4 Tc 2.48, 4 Mn 2.48
Mn 0.0000 0.0000 0.0000  8 Li 2.48
Tc 0.5000 0.5000 0.5000  8 Li 2.48

## Properties
- DOS(E_F) (states/eV per atom) = 2.29
- crystal system = cubic
- symmetry = No. 225
- energy (eV per atom) = -4.95
- M_tot (μB/atom) = 0.000
- polymorph energy (0 for the lowest one) (kJ/mol of atoms) = 66.7


This record from the Alexandria database describes crystalline CaLaNO2 at its relaxed geometry. The functional is PBE-GGA.

Cell: 4.2846 4.2846 4.2856 Å, 90.00 90.00 90.00°
Last column: nearest neighbours and their distance in Å.
Positions (direct):
Ca 0.0000 0.0000 0.0000  4 O 2.14, 2 N 2.14
La 0.5000 0.5000 0.5000  4 N 3.03, 8 O 3.03
N 0.0000 0.0000 0.5000  2 Ca 2.14
O 0.0000 0.5000 0.0000  2 Ca 2.14
O 0.5000 0.0000 0.0000  2 Ca 2.14

## Properties
- DOS(E_F) (states/eV per atom) = 0.43
- crystal system = tetragonal
- symmetry = No. 123
- energy (eV per atom) = -6.29
- M_tot (μB/atom) = 0.342


This record from the Alexandria database describes crystalline Eu3Mg12Ga5 at its relaxed geometry. The functional is PBE-GGA.

Cell: 15.0202 15.0202 15.0202 Å, 109.47 109.47 109.47°
Last column: nearest neighbours and their distance in Å.
Positions (direct):
Eu 0.1250 0.2500 0.3750  4 Mg 3.60
Eu 0.1250 0.3750 0.7500  4 Mg 3.60
Eu 0.2500 0.3750 0.1250  4 Mg 3.60
Eu 0.2500 0.8750 0.6250  4 Mg 3.60
Eu 0.3750 0.1250 0.2500  4 Mg 3.60
Eu 0.3750 0.7500 0.1250  4 Mg 3.60
Eu 0.6250 0.2500 0.8750  4 Mg 3.60
Eu 0.6250 0.8750 0.7500  4 Mg 3.60
Eu 0.7500 0.1250 0.3750  4 Mg 3.60
Eu 0.7500 0.6250 0.8750  4 Mg 3.60
Eu 0.8750 0.6250 0.2500  4 Mg 3.60
Eu 0.8750 0.7500 0.6250  4 Mg 3.60
Mg 0.0176 0.6935 0.0641  2 Ga 2.61-2.63
Mg 0.0176 0.8240 0.9535  2 Ga 2.61-2.63
Mg 0.0465 0.5641 0.8706  2 Ga 2.61-2.63
Mg 0.0465 0.9824 0.1760  2 Ga 2.61-2.63
Mg 0.0641 0.0176 0.6935  2 Ga 2.61-2.63
Mg 0.0641 0.5465 0.3706  2 Ga 2.61-2.63
Mg 0.1294 0.6760 0.6935  2 Ga 2.61-2.63
Mg 0.1294 0.9535 0.4359  2 Ga 2.61-2.63
Mg 0.1760 0.0465 0.9824  2 Ga 2.61-2.63
Mg 0.1760 0.6294 0.1935  2 Ga 2.61-2.63
Mg 0.1935 0.1760 0.6294  2 Ga 2.61-2.63
Mg 0.1935 0.5176 0.5641  2 Ga 2.61-2.63
Mg 0.3065 0.8706 0.3240  2 Ga 2.61-2.63
Mg 0.3065 0.9359 0.9824  2 Ga 2.61-2.63
Mg 0.3240 0.3065 0.8706  2 Ga 2.61-2.63
Mg 0.3240 0.5176 0.4535  2 Ga 2.61-2.63
Mg 0.3706 0.0641 0.5465  2 Ga 2.61-2.63
Mg 0.3706 0.8065 0.8240  2 Ga 2.61-2.63
Mg 0.4359 0.1294 0.9535  2 Ga 2.61-2.63
Mg 0.4359 0.8065 0.4824  2 Ga 2.61-2.63
Mg 0.4535 0.3240 0.5176  2 Ga 2.61-2.63
Mg 0.4535 0.6294 0.9359  2 Ga 2.61-2.63
Mg 0.4824 0.4359 0.8065  2 Ga 2.61-2.63
Mg 0.4824 0.5465 0.6760  2 Ga 2.61-2.63
Mg 0.5176 0.4535 0.3240  2 Ga 2.61-2.63
Mg 0.5176 0.5641 0.1935  2 Ga 2.61-2.63
Mg 0.5465 0.3706 0.0641  2 Ga 2.61-2.63
Mg 0.5465 0.6760 0.4824  2 Ga 2.61-2.63
Mg 0.5641 0.1935 0.5176  2 Ga 2.61-2.63
Mg 0.5641 0.8706 0.0465  2 Ga 2.61-2.63
Mg 0.6294 0.1935 0.1760  2 Ga 2.61-2.63
Mg 0.6294 0.9359 0.4535  2 Ga 2.61-2.63
Mg 0.6760 0.4824 0.5465  2 Ga 2.61-2.63
Mg 0.6760 0.6935 0.1294  2 Ga 2.61-2.63
Mg 0.6935 0.0641 0.0176  2 Ga 2.61-2.63
Mg 0.6935 0.1294 0.6760  2 Ga 2.61-2.63
Mg 0.8065 0.4824 0.4359  2 Ga 2.61-2.63
Mg 0.8065 0.8240 0.3706  2 Ga 2.61-2.63
Mg 0.8240 0.3706 0.8065  2 Ga 2.61-2.63
Mg 0.8240 0.9535 0.0176  2 Ga 2.61-2.63
Mg 0.8706 0.0465 0.5641  2 Ga 2.61-2.63
Mg 0.8706 0.3240 0.3065  2 Ga 2.61-2.63
Mg 0.9359 0.4535 0.6294  2 Ga 2.61-2.63
Mg 0.9359 0.9824 0.3065  2 Ga 2.61-2.63
Mg 0.9535 0.0176 0.8240  2 Ga 2.61-2.63
Mg 0.9535 0.4359 0.1294  2 Ga 2.61-2.63
Mg 0.9824 0.1760 0.0465  2 Ga 2.61-2.63
Mg 0.9824 0.3065 0.9359  2 Ga 2.61-2.63
Ga 0.0000 0.0000 0.0000  6 Mg 2.63
Ga 0.0000 0.0000 0.5000  6 Mg 2.63
Ga 0.0000 0.5000 0.0000  6 Mg 2.63
Ga 0.0000 0.5000 0.5000  6 Mg 2.63
Ga 0.1250 0.7500 0.8750  4 Mg 2.61
Ga 0.1250 0.8750 0.2500  4 Mg 2.61
Ga 0.2500 0.1250 0.8750  4 Mg 2.61
Ga 0.2500 0.6250 0.3750  4 Mg 2.61
Ga 0.3750 0.2500 0.6250  4 Mg 2.61
Ga 0.3750 0.6250 0.7500  4 Mg 2.61
Ga 0.5000 0.0000 0.0000  6 Mg 2.63
Ga 0.5000 0.0000 0.5000  6 Mg 2.63
Ga 0.5000 0.5000 0.0000  6 Mg 2.63
Ga 0.5000 0.5000 0.5000  6 Mg 2.63
Ga 0.6250 0.3750 0.2500  4 Mg 2.61
Ga 0.6250 0.7500 0.3750  4 Mg 2.61
Ga 0.7500 0.3750 0.6250  4 Mg 2.61
Ga 0.7500 0.8750 0.1250  4 Mg 2.61
Ga 0.8750 0.1250 0.7500  4 Mg 2.61
Ga 0.8750 0.2500 0.1250  4 Mg 2.61

## Properties
- DOS(E_F) (states/eV per atom) = 0.50
- crystal system = cubic
- symmetry = No. 230
- energy (eV per atom) = -3.01
- M_tot (μB/atom) = 1.097


This record from the Alexandria database describes crystalline Li2TlIn5 at its relaxed geometry. The functional is PBE-GGA.

Cell: 6.3982 12.8457 4.7095 Å, 90.00 90.00 90.00°
Last column: nearest neighbours and their distance in Å.
Positions (direct):
Li 0.2365 0.1231 0.0000  10 In 3.18-3.33, 2 Tl 3.21
Li 0.2635 0.6231 0.0000  10 In 3.18-3.33, 2 Tl 3.21
Li 0.7365 0.3769 0.0000  10 In 3.18-3.33, 2 Tl 3.21
Li 0.7635 0.8769 0.0000  10 In 3.18-3.33, 2 Tl 3.21
Tl 0.0000 0.0000 0.5000  8 In 3.20-3.34, 4 Li 3.21
Tl 0.5000 0.5000 0.5000  8 In 3.20-3.34, 4 Li 3.21
In 0.0000 0.5000 0.5000  6 In 3.17-3.25, 2 Tl 3.20, 4 Li 3.30
In 0.0207 0.7462 0.5000  7 In 3.17-3.24, 4 Li 3.23-3.33, 1 Tl 3.26
In 0.2362 0.3707 0.0000  4 Li 3.18-3.25, 6 In 3.24-3.25, 2 Tl 3.34
In 0.2638 0.8707 0.0000  4 Li 3.18-3.25, 6 In 3.24-3.25, 2 Tl 3.34
In 0.4793 0.2462 0.5000  7 In 3.17-3.24, 4 Li 3.23-3.33, 1 Tl 3.26
In 0.5000 0.0000 0.5000  6 In 3.17-3.25, 2 Tl 3.20, 4 Li 3.30
In 0.5207 0.7538 0.5000  7 In 3.17-3.24, 4 Li 3.23-3.33, 1 Tl 3.26
In 0.7362 0.1293 0.0000  4 Li 3.18-3.25, 6 In 3.24-3.25, 2 Tl 3.34
In 0.7638 0.6293 0.0000  4 Li 3.18-3.25, 6 In 3.24-3.25, 2 Tl 3.34
In 0.9793 0.2538 0.5000  7 In 3.17-3.24, 4 Li 3.23-3.33, 1 Tl 3.26

## Properties
- DOS(E_F) (states/eV per atom) = 0.42
- crystal system = orthorhombic
- symmetry = No. 55
- energy (eV per atom) = -2.60
- M_tot (μB/atom) = 0.000


This record from the Alexandria database describes crystalline Cu8Pd2Au3 at its relaxed geometry. The functional is PBE-GGA.

Cell: 9.9698 9.9698 9.9698 Å, 27.88 27.88 27.88°
Last column: nearest neighbours and their distance in Å.
Positions (direct):
Cu 0.2276 0.2276 0.2276  1 Pd 2.49, 1 Au 2.58, 6 Cu 2.66
Cu 0.2334 0.2334 0.7306  6 Cu 2.39-2.66, 1 Pd 2.57
Cu 0.2334 0.7306 0.2334  6 Cu 2.39-2.66, 1 Pd 2.57
Cu 0.2694 0.7666 0.7666  6 Cu 2.39-2.66, 1 Pd 2.57
Cu 0.7306 0.2334 0.2334  6 Cu 2.39-2.66, 1 Pd 2.57
Cu 0.7666 0.2694 0.7666  6 Cu 2.39-2.66, 1 Pd 2.57
Cu 0.7666 0.7666 0.2694  6 Cu 2.39-2.66, 1 Pd 2.57
Cu 0.7724 0.7724 0.7724  1 Pd 2.49, 1 Au 2.58, 6 Cu 2.66
Pd 0.1411 0.1411 0.1411  4 Cu 2.49-2.57
Pd 0.8589 0.8589 0.8589  4 Cu 2.49-2.57
Au 0.3175 0.3175 0.3175  10 Cu 2.58-2.80
Au 0.5000 0.5000 0.5000  6 Pd 2.87, 6 Cu 3.21
Au 0.6825 0.6825 0.6825  10 Cu 2.58-2.80

## Properties
- DOS(E_F) (states/eV per atom) = 0.18
- crystal system = trigonal
- symmetry = No. 166
- energy (eV per atom) = -4.02
- M_tot (μB/atom) = 0.000